Entry 1:
{"formula": "Li2TcMo", "functional": "PBE", "state": "optimized geometry", "dos_at_fermi_per_ev_fu": 2.57, "relative_energy_mev_per_atom": 0, "ef_ev_per_atom": 0.18, "cell": [[3.037, 0.000, 0.000], [0.000, 4.389, 0.000], [0.000, 0.000, 9.420]], "species": ["Li", "Li", "Li", "Li", "Tc", "Tc", "Mo", "Mo"], "frac_coords": [[0.000, 0.000, 0.000], [0.000, 0.500, 0.276], [0.500, 0.000, 0.276], [0.500, 0.500, 0.000], [0.000, 0.000, 0.515], [0.500, 0.500, 0.515], [0.000, 0.500, 0.747], [0.500, 0.000, 0.747]]}

***

Entry 2:
{"formula": "LiTc2Mo", "functional": "PBE", "state": "optimized geometry", "dos_at_fermi_per_ev_fu": 4.53, "relative_energy_mev_per_atom": 68, "ef_ev_per_atom": 0.25, "cell": [[3.170, 0.000, 0.000], [0.000, 3.170, 0.000], [0.000, 0.000, 5.581]], "species": ["Li", "Tc", "Tc", "Mo"], "frac_coords": [[0.000, 0.000, 0.000], [0.500, 0.500, 0.231], [0.500, 0.500, 0.769], [0.000, 0.000, 0.500]]}

***

Entry 3:
{"formula": "Li2TcMo", "functional": "PBE", "state": "optimized geometry", "dos_at_fermi_per_ev_fu": 2.57, "relative_energy_mev_per_atom": 138, "ef_ev_per_atom": 0.32, "cell": [[3.118, 0.000, 0.000], [0.000, 3.987, 0.000], [0.000, 0.000, 9.506]], "species": ["Li", "Li", "Li", "Li", "Tc", "Tc", "Mo", "Mo"], "frac_coords": [[0.000, 0.000, 0.241], [0.000, 0.000, 0.759], [0.500, 0.500, 0.241], [0.500, 0.500, 0.759], [0.000, 0.500, 0.000], [0.500, 0.000, 0.000], [0.000, 0.500, 0.500], [0.500, 0.000, 0.500]]}

***

Entry 4:
{"formula": "Li2TcMo", "functional": "PBE", "state": "optimized geometry", "dos_at_fermi_per_ev_fu": 2.12, "relative_energy_mev_per_atom": 128, "ef_ev_per_atom": 0.31, "cell": [[3.553, 0.000, 0.000], [0.000, 3.553, 0.000], [0.000, 0.000, 4.652]], "species": ["Li", "Li", "Tc", "Mo"], "frac_coords": [[0.000, 0.500, 0.000], [0.500, 0.000, 0.000], [0.000, 0.000, 0.500], [0.500, 0.500, 0.500]]}